The following is a PBE calculation of a geometry-optimized ZrTaAs2 structure, from Alexandria via LeMat-Bulk.

a = 5.9154 Å, b = 5.9154 Å, c = 7.2843 Å
α = 66.04°, β = 66.04°, γ = 90.00°
Element x y z (fractional)
1 As 0.6442 0.1250 0.2500
2 As 0.1058 0.6250 0.2500
3 As 0.3750 0.3558 0.7500
4 As 0.8750 0.8942 0.7500
5 Zr 0.2500 0.7500 0.5000
6 Zr 0.5000 0.5000 0.0000
7 Ta 0.7500 0.2500 0.5000
8 Ta 0.0000 0.0000 0.0000

Values from the calculation:
DOS(E_F) ... 4.66 states/eV/f.u.
SG ... I-42d, No. 122
Total energy ... -7.400 eV per atom
ΔH_f (0 K) ... 25.0 meV/atom